Material: Pm5InCu2
Method: DFT, PBE
State: relaxed

Output
- Calculated formation energy: -1.6 eV/f.u.
- Total magnetic moment: 0.00 μB/f.u.
- DFT total energy: -4.5361 eV per atom

Unit cell a=8.1468 b=8.1468 c=8.7657 alpha=117.69 beta=117.69 gamma=90.00
With the nearest neighbours (Å) after each atom.
Fractional positions:
Pm1 0.7976 0.9883 0.2859  3 Cu 2.99-3.13
In1 0.2500 0.2500 0.5000  10 Pm 3.30-3.39
Cu1 0.6284 0.1284 0.0000  1 Cu 2.96, 8 Pm 2.99-3.20
Pm2 0.2976 0.7976 0.2859  3 Cu 2.99-3.13
Cu2 0.8716 0.6284 0.0000  1 Cu 2.96, 8 Pm 2.99-3.20
Pm3 0.5000 0.5000 0.0000  4 Cu 3.20, 2 In 3.30
Pm4 0.0117 0.5117 0.7141  3 Cu 2.99-3.13
Cu3 0.3716 0.8716 0.0000  1 Cu 2.96, 8 Pm 2.99-3.20
In2 0.7500 0.7500 0.5000  10 Pm 3.30-3.39
Pm5 0.5117 0.7024 0.7141  3 Cu 2.99-3.13
Pm6 0.4883 0.2976 0.2859  3 Cu 2.99-3.13
Cu4 0.1284 0.3716 0.0000  1 Cu 2.96, 8 Pm 2.99-3.20
Pm7 0.7024 0.2024 0.7141  3 Cu 2.99-3.13
Pm8 0.9883 0.4883 0.2859  3 Cu 2.99-3.13
Pm9 0.0000 0.0000 0.0000  4 Cu 3.20, 2 In 3.30
Pm10 0.2024 0.0117 0.7141  3 Cu 2.99-3.13

---

Material: PmInCu
Method: DFT, PBE
State: relaxed

Output
- Energy above the lowest structure with this stoichiometry: 0.1623 eV per atom
- Calculated formation energy: -0.6 eV/f.u.
- Total magnetic moment: 0.00 μB/f.u.
- DFT total energy: -4.0620 eV per atom

Unit cell a=5.1152 b=3.7125 c=7.6520 alpha=75.96 beta=90.00 gamma=90.00
With the nearest neighbours (Å) after each atom.
Fractional positions:
In1 0.2500 0.2203 0.5594  2 Cu 2.97, 2 Pm 3.24, 4 In 3.28
Pm1 0.2500 0.9136 0.1729  6 Cu 2.91-3.18, 2 In 3.24
Cu1 0.7500 0.4359 0.1282  6 Pm 2.91-3.18, 2 In 2.97, 2 Cu 3.19
Pm2 0.7500 0.0864 0.8271  6 Cu 2.91-3.18, 2 In 3.24
Cu2 0.2500 0.5641 0.8718  6 Pm 2.91-3.18, 2 In 2.97, 2 Cu 3.19
In2 0.7500 0.7797 0.4406  2 Cu 2.97, 2 Pm 3.24, 4 In 3.28

---

Material: PmInCu4
Method: DFT, PBE
State: relaxed

Output
- Calculated formation energy: -1.5 eV/f.u.
- Total magnetic moment: 0.00 μB/f.u.
- DFT total energy: -4.2226 eV per atom

Unit cell a=5.1880 b=5.1880 c=5.1880 alpha=60.00 beta=60.00 gamma=60.00
With the nearest neighbours (Å) after each atom.
Fractional positions:
Pm1 0.2500 0.2500 0.2500  12 Cu 3.04, 4 In 3.18
Cu1 0.1229 0.6257 0.6257  6 Cu 2.58-2.61
Cu2 0.6257 0.6257 0.1229  6 Cu 2.58-2.61
In1 0.0000 0.0000 0.0000  12 Cu 3.04, 4 Pm 3.18
Cu3 0.6257 0.6257 0.6257  6 Cu 2.58-2.61
Cu4 0.6257 0.1229 0.6257  6 Cu 2.58-2.61

---

Material: Pm4In5Cu2
Method: DFT, PBE
State: relaxed

Output
- Calculated formation energy: -4.1 eV/f.u.
- Total magnetic moment: 0.00 μB/f.u.
- DFT total energy: -4.0884 eV per atom

Unit cell a=3.7586 b=7.7673 c=9.7378 alpha=94.41 beta=90.00 gamma=90.00
With the nearest neighbours (Å) after each atom.
Fractional positions:
Cu1 0.0000 0.9339 0.3726  1 Cu 2.61
Pm1 0.5000 0.2321 0.4368  4 Cu 3.00-3.01, 2 In 3.35
Pm2 0.5000 0.1822 0.8597  2 Cu 3.02, 4 In 3.31-3.32
Pm3 0.5000 0.8178 0.1403  2 Cu 3.02, 4 In 3.31-3.32
In1 0.0000 0.5000 0.0000  4 In 3.05-3.12, 4 Pm 3.31
Pm4 0.5000 0.7679 0.5632  4 Cu 3.00-3.01, 2 In 3.35
In2 0.0000 0.5507 0.3209  1 Cu 2.98, 2 In 3.12-3.26
In3 0.0000 0.8282 0.8470  1 Cu 2.93, 2 In 3.05-3.26
In4 0.0000 0.4493 0.6791  1 Cu 2.98, 2 In 3.12-3.26
Cu2 0.0000 0.0661 0.6274  1 Cu 2.61
In5 0.0000 0.1718 0.1530  1 Cu 2.93, 2 In 3.05-3.26

---

Material: PmInCu
Method: DFT, PBE
State: relaxed

Output
- Energy above the lowest structure with this stoichiometry: 0.0307 eV per atom
- Calculated formation energy: -1.0 eV/f.u.
- Total magnetic moment: 0.00 μB/f.u.
- DFT total energy: -4.1935 eV per atom

Unit cell a=3.7400 b=4.6668 c=4.6668 alpha=120.00 beta=90.00 gamma=90.00
With the nearest neighbours (Å) after each atom.
Fractional positions:
Pm1 0.6666 0.6667 0.3333  6 Cu 3.28, 6 In 3.28
In1 0.1666 0.3333 0.6667  3 Cu 2.69
Cu1 0.1668 0.0000 0.0000  3 In 2.69

---

Material: Pm2InCu3
Method: DFT, PBE
State: relaxed

Output
- Calculated formation energy: -1.4 eV/f.u.
- Total magnetic moment: 0.00 μB/f.u.
- DFT total energy: -4.3132 eV per atom

Unit cell a=5.7966 b=5.7966 c=8.6805 alpha=105.42 beta=105.42 gamma=101.74
With the nearest neighbours (Å) after each atom.
Fractional positions:
Cu1 0.1630 0.1630 0.3260  2 Cu 2.55, 1 In 2.71
Pm1 0.7631 0.7631 0.0000  10 Cu 3.06-3.26, 2 In 3.23
Cu2 0.8370 0.8370 0.6740  2 Cu 2.55, 1 In 2.71
Cu3 0.3233 0.8365 0.1598  2 Cu 2.52-2.55, 1 In 2.67
Pm2 0.2369 0.2369 0.0000  10 Cu 3.06-3.26, 2 In 3.23
Cu4 0.1635 0.6767 0.8402  2 Cu 2.52-2.55, 1 In 2.67
Cu5 0.6767 0.1635 0.8402  2 Cu 2.52-2.55, 1 In 2.67
In1 0.3352 0.3352 0.6704  3 Cu 2.67-2.71
Pm3 0.7500 0.2500 0.5000  4 In 3.19, 8 Cu 3.21-3.24
Cu6 0.8365 0.3233 0.1598  2 Cu 2.52-2.55, 1 In 2.67
In2 0.6648 0.6648 0.3296  3 Cu 2.67-2.71
Pm4 0.2500 0.7500 0.5000  4 In 3.19, 8 Cu 3.21-3.24